# 1
Compound: CaNiAg2
Source: the Alexandria database
Functional: PBE-GGA
Structure: optimized geometry

Structure (POSCAR):
```
CaNiAg2
1.0
3.288 0.000 0.000
0.000 3.555 0.000
0.000 0.000 6.591
Ca Ni Ag
1 1 2
Direct
0.000 0.000 0.000
0.000 0.000 0.500
0.500 0.500 0.294
0.500 0.500 0.706
```

Space-group type = Pmmm (47)
DFT formation energy = 0.071 eV/atom
Energy = -3.3008 eV/atom
DOS at the Fermi energy = 0.822 states/eV/atom

***

# 2
Compound: BaSrIn6
Source: the Alexandria database
Functional: PBE-GGA
Structure: optimized geometry

Structure (POSCAR):
```
BaSrIn6
1.0
4.970 0.000 0.000
0.000 3.788 6.596
0.000 -3.788 6.596
Ba Sr In
1 1 6
Direct
0.000 0.000 0.000
0.500 0.336 0.336
0.000 0.516 0.969
0.000 0.518 0.518
0.000 0.969 0.516
0.500 0.381 0.813
0.500 0.810 0.810
0.500 0.813 0.381
```

Space-group type = Amm2 (38)
DFT formation energy = -0.336 eV/atom
Energy = -2.8400 eV/atom
DOS at the Fermi energy = 0.500 states/eV/atom

***

# 3
Compound: Zn2RuCl
Source: the Alexandria database
Functional: PBE-GGA
Structure: optimized geometry

Structure (POSCAR):
```
Zn2RuCl
1.0
2.933 0.000 0.000
0.000 4.347 0.000
0.000 0.000 4.813
Zn Ru Cl
2 1 1
Direct
0.000 0.000 0.000
0.500 0.500 0.000
0.000 0.500 0.500
0.500 0.000 0.500
```

Space-group type = Pmmm (47)
Excess energy over the best structure of this formula in the dataset = 447 meV per atom
E_form (uncorrected) = 378 meV/atom
Energy = -3.0397 eV/atom
DOS at the Fermi energy = 0.759 states/eV/atom

***

# 4
Compound: Ba2GaTePd
Source: the Alexandria database
Functional: PBE-GGA
Structure: optimized geometry

Structure (POSCAR):
```
Ba2GaTePd
1.0
6.141 0.000 0.000
0.000 6.141 0.000
0.000 0.000 4.802
Ba Ga Te Pd
2 1 1 1
Direct
0.000 0.500 0.000
0.500 0.000 0.000
0.000 0.000 0.500
0.500 0.500 0.500
0.000 0.000 0.000
```

Space-group type = P4/mmm (123)
E_form (uncorrected) = -852 meV/atom
Energy = -3.8938 eV/atom
DOS at the Fermi energy = 0.695 states/eV/atom

***

# 5
Compound: KAuS2N
Source: the Alexandria database
Functional: PBE-GGA
Structure: optimized geometry

Structure (POSCAR):
```
KAuS2N
1.0
5.549 0.000 0.000
0.000 5.549 0.000
0.000 0.000 4.463
K Au S N
1 1 2 1
Direct
0.000 0.000 0.000
0.500 0.500 0.500
0.000 0.500 0.000
0.500 0.000 0.000
0.000 0.000 0.500
```

Space-group type = P4/mmm (123)
Excess energy over the best structure of this formula in the dataset = 1545 meV per atom
E_form (uncorrected) = 2212 meV/atom
Energy = -1.9789 eV/atom
DOS at the Fermi energy = 2.084 states/eV/atom

***

# 6
Compound: Pm5Tm6Tl
Source: the Alexandria database
Functional: PBE-GGA
Structure: optimized geometry

Structure (POSCAR):
```
Pm5Tm6Tl
1.0
5.831 -5.269 0.000
5.831 5.269 0.000
-1.008 0.000 6.051
Pm Tm Tl
5 6 1
Direct
0.000 0.000 0.000
0.168 0.832 0.500
0.339 0.661 0.000
0.661 0.339 0.000
0.832 0.168 0.500
0.089 0.416 0.243
0.251 0.251 0.738
0.416 0.089 0.243
0.584 0.911 0.757
0.749 0.749 0.262
0.911 0.584 0.757
0.500 0.500 0.500
```

Space-group type = C2/m (12)
DFT formation energy = -0.028 eV/atom
Energy = -4.4402 eV/atom
DOS at the Fermi energy = 1.249 states/eV/atom